# 1
! Ti5BiN PBE-GGA relaxed; values from VASP
&SYSTEM
  ibrav = 0, nat = 14, ntyp = 3
/
ATOMIC_SPECIES
Ti 47.87 Ti.upf
Bi 208.98 Bi.upf
N 14.01 N.upf
CELL_PARAMETERS angstrom
4.620 0.000 0.000
0.000 5.755 0.000
0.000 0.000 8.429
ATOMIC_POSITIONS crystal
Ti 0.000 0.000 0.000
Ti 0.000 0.255 0.327
Ti 0.000 0.255 0.673
Ti 0.000 0.745 0.327
Ti 0.000 0.745 0.673
Ti 0.500 0.245 0.173
Ti 0.500 0.245 0.827
Ti 0.500 0.500 0.500
Ti 0.500 0.755 0.173
Ti 0.500 0.755 0.827
Bi 0.000 0.500 0.000
Bi 0.500 0.000 0.500
N 0.000 0.500 0.500
N 0.500 0.000 0.000
! Formation energy without anion corrections, kJ/mol of formula units: -338
! Total magnetic moment, μB/f.u.: 0.0

=====

# 2
! RbSr2HfMo PBE-GGA relaxed; values from VASP
&SYSTEM
  ibrav = 0, nat = 5, ntyp = 4
/
ATOMIC_SPECIES
Rb 85.47 Rb.upf
Sr 87.62 Sr.upf
Hf 178.49 Hf.upf
Mo 95.94 Mo.upf
CELL_PARAMETERS angstrom
5.754 0.000 0.000
0.000 5.754 0.000
0.000 0.000 5.036
ATOMIC_POSITIONS crystal
Rb 0.000 0.000 0.000
Sr 0.000 0.500 0.000
Sr 0.500 0.000 0.000
Hf 0.500 0.500 0.500
Mo 0.000 0.000 0.500
! Total magnetic moment, μB/f.u.: 0.4

=====

# 3
! LiGaNi2Os PBE-GGA relaxed; values from VASP
&SYSTEM
  ibrav = 0, nat = 5, ntyp = 4
/
ATOMIC_SPECIES
Li 6.94 Li.upf
Ga 69.72 Ga.upf
Ni 58.69 Ni.upf
Os 190.23 Os.upf
CELL_PARAMETERS angstrom
4.373 0.000 0.000
0.000 4.373 0.000
0.000 0.000 4.620
ATOMIC_POSITIONS crystal
Li 0.000 0.000 0.000
Ga 0.500 0.500 0.500
Ni 0.000 0.500 0.500
Ni 0.500 0.000 0.500
Os 0.500 0.500 0.000
! Total magnetic moment, μB/f.u.: 2.0

=====

# 4
! Mg14CdBi PBE-GGA relaxed; values from VASP
&SYSTEM
  ibrav = 0, nat = 16, ntyp = 3
/
ATOMIC_SPECIES
Mg 24.30 Mg.upf
Cd 112.41 Cd.upf
Bi 208.98 Bi.upf
CELL_PARAMETERS angstrom
6.385 0.000 0.000
0.000 6.385 0.000
0.000 0.000 9.159
ATOMIC_POSITIONS crystal
Mg 0.000 0.000 0.000
Mg 0.000 0.500 0.000
Mg 0.000 0.500 0.500
Mg 0.246 0.246 0.246
Mg 0.246 0.246 0.754
Mg 0.246 0.754 0.246
Mg 0.246 0.754 0.754
Mg 0.500 0.000 0.000
Mg 0.500 0.000 0.500
Mg 0.500 0.500 0.000
Mg 0.754 0.246 0.246
Mg 0.754 0.246 0.754
Mg 0.754 0.754 0.246
Mg 0.754 0.754 0.754
Cd 0.000 0.000 0.500
Bi 0.500 0.500 0.500
! Total magnetic moment, μB/f.u.: 0.0

=====

# 5
! CeSiAu3 PBE-GGA relaxed; values from VASP
&SYSTEM
  ibrav = 0, nat = 20, ntyp = 3
/
ATOMIC_SPECIES
Ce 140.12 Ce.upf
Si 28.09 Si.upf
Au 196.97 Au.upf
CELL_PARAMETERS angstrom
8.550 0.000 0.000
0.000 4.494 0.000
0.000 0.000 10.717
ATOMIC_POSITIONS crystal
Ce 0.199 0.250 0.009
Ce 0.301 0.750 0.509
Ce 0.699 0.250 0.491
Ce 0.801 0.750 0.991
Si 0.098 0.250 0.642
Si 0.402 0.750 0.142
Si 0.598 0.250 0.858
Si 0.902 0.750 0.358
Au 0.064 0.250 0.403
Au 0.108 0.750 0.828
Au 0.126 0.750 0.209
Au 0.374 0.250 0.709
Au 0.392 0.250 0.328
Au 0.436 0.750 0.903
Au 0.564 0.250 0.097
Au 0.608 0.750 0.672
Au 0.626 0.750 0.291
Au 0.874 0.250 0.791
Au 0.892 0.250 0.172
Au 0.936 0.750 0.597
! Formation energy without anion corrections, kJ/mol of formula units: -228
! Total magnetic moment, μB/f.u.: 0.9

=====

# 6
! CrTe2I PBE-GGA relaxed; values from VASP
&SYSTEM
  ibrav = 0, nat = 16, ntyp = 3
/
ATOMIC_SPECIES
Cr 52.00 Cr.upf
Te 127.60 Te.upf
I 126.90 I.upf
CELL_PARAMETERS angstrom
7.246 0.000 0.000
0.000 7.246 0.000
0.000 0.000 11.293
ATOMIC_POSITIONS crystal
Cr 0.000 0.000 0.000
Cr 0.000 0.500 0.250
Cr 0.500 0.000 0.750
Cr 0.500 0.500 0.500
Te 0.145 0.250 0.125
Te 0.250 0.645 0.375
Te 0.250 0.855 0.875
Te 0.355 0.250 0.625
Te 0.645 0.750 0.625
Te 0.750 0.145 0.875
Te 0.750 0.355 0.375
Te 0.855 0.750 0.125
I 0.000 0.000 0.500
I 0.000 0.500 0.750
I 0.500 0.000 0.250
I 0.500 0.500 0.000
! Formation energy without anion corrections, kJ/mol of formula units: 78
! Total magnetic moment, μB/f.u.: 1.5

=====

# 7
! Li3As2Pt PBE-GGA relaxed; values from VASP
&SYSTEM
  ibrav = 0, nat = 12, ntyp = 3
/
ATOMIC_SPECIES
Li 6.94 Li.upf
As 74.92 As.upf
Pt 195.08 Pt.upf
CELL_PARAMETERS angstrom
-2.744 6.546 2.785
2.744 -6.546 2.785
2.744 6.546 -2.785
ATOMIC_POSITIONS crystal
Li 0.169 0.747 0.916
Li 0.250 0.250 0.000
Li 0.331 0.247 0.578
Li 0.669 0.753 0.422
Li 0.750 0.750 0.000
Li 0.831 0.253 0.084
As 0.130 0.260 0.390
As 0.370 0.760 0.131
As 0.630 0.240 0.869
As 0.870 0.740 0.610
Pt 0.250 0.750 0.500
Pt 0.750 0.250 0.500
! Total magnetic moment, μB/f.u.: 0.0

=====

# 8
! K2Pa2Te5 PBE-GGA relaxed; values from VASP
&SYSTEM
  ibrav = 0, nat = 18, ntyp = 3
/
ATOMIC_SPECIES
K 39.10 K.upf
Pa 231.04 Pa.upf
Te 127.60 Te.upf
CELL_PARAMETERS angstrom
8.658 -4.240 0.000
8.658 4.240 0.000
0.000 0.000 8.486
ATOMIC_POSITIONS crystal
K 0.204 0.204 0.000
K 0.296 0.296 0.500
K 0.704 0.704 0.500
K 0.796 0.796 0.000
Pa 0.152 0.848 0.652
Pa 0.348 0.652 0.152
Pa 0.652 0.348 0.848
Pa 0.848 0.152 0.348
Te 0.000 0.000 0.000
Te 0.032 0.736 0.352
Te 0.236 0.532 0.852
Te 0.264 0.968 0.352
Te 0.468 0.764 0.852
Te 0.500 0.500 0.500
Te 0.532 0.236 0.148
Te 0.736 0.032 0.648
Te 0.764 0.468 0.148
Te 0.968 0.264 0.648
! Formation energy without anion corrections, kJ/mol of formula units: -857
! Total magnetic moment, μB/f.u.: 2.0

=====

# 9
! YCo3Mo PBE-GGA relaxed; values from VASP
&SYSTEM
  ibrav = 0, nat = 5, ntyp = 3
/
ATOMIC_SPECIES
Y 88.91 Y.upf
Co 58.93 Co.upf
Mo 95.94 Mo.upf
CELL_PARAMETERS angstrom
4.462 0.000 0.000
0.000 4.462 0.000
0.000 0.000 4.462
ATOMIC_POSITIONS crystal
Y 0.000 0.000 0.000
Co 0.000 0.500 0.500
Co 0.500 0.000 0.500
Co 0.500 0.500 0.000
Mo 0.500 0.500 0.500
! Total magnetic moment, μB/f.u.: 0.0

=====

# 10
! Dy2YIr PBE-GGA relaxed; values from VASP
&SYSTEM
  ibrav = 0, nat = 16, ntyp = 3
/
ATOMIC_SPECIES
Dy 162.50 Dy.upf
Y 88.91 Y.upf
Ir 192.22 Ir.upf
CELL_PARAMETERS angstrom
3.915 0.000 0.000
0.000 12.039 0.000
0.000 0.000 9.088
ATOMIC_POSITIONS crystal
Dy 0.000 0.142 0.066
Dy 0.000 0.142 0.434
Dy 0.000 0.858 0.566
Dy 0.000 0.858 0.934
Dy 0.500 0.358 0.566
Dy 0.500 0.358 0.934
Dy 0.500 0.642 0.066
Dy 0.500 0.642 0.434
Y 0.000 0.427 0.250
Y 0.000 0.573 0.750
Y 0.500 0.073 0.750
Y 0.500 0.927 0.250
Ir 0.000 0.249 0.750
Ir 0.000 0.751 0.250
Ir 0.500 0.251 0.250
Ir 0.500 0.749 0.750
! Total magnetic moment, μB/f.u.: 0.0

=====

# 11
! ZrCr2Fe PBE-GGA relaxed; values from VASP
&SYSTEM
  ibrav = 0, nat = 8, ntyp = 3
/
ATOMIC_SPECIES
Zr 91.22 Zr.upf
Cr 52.00 Cr.upf
Fe 55.84 Fe.upf
CELL_PARAMETERS angstrom
9.377 0.000 0.000
0.000 3.073 0.000
-2.099 0.000 3.917
ATOMIC_POSITIONS crystal
Zr 0.000 0.000 0.000
Zr 0.500 0.500 0.000
Cr 0.272 0.500 0.272
Cr 0.494 0.000 0.494
Cr 0.772 0.000 0.272
Cr 0.994 0.500 0.494
Fe 0.234 0.000 0.733
Fe 0.734 0.500 0.733
! Total magnetic moment, μB/f.u.: 1.5

=====

# 12
! DyTmRu2 PBE-GGA relaxed; values from VASP
&SYSTEM
  ibrav = 0, nat = 16, ntyp = 3
/
ATOMIC_SPECIES
Dy 162.50 Dy.upf
Tm 168.93 Tm.upf
Ru 101.07 Ru.upf
CELL_PARAMETERS angstrom
6.752 0.000 0.000
0.000 6.752 0.000
0.000 0.000 6.752
ATOMIC_POSITIONS crystal
Dy 0.000 0.000 0.000
Dy 0.000 0.500 0.500
Dy 0.500 0.000 0.500
Dy 0.500 0.500 0.000
Tm 0.000 0.000 0.500
Tm 0.000 0.500 0.000
Tm 0.500 0.000 0.000
Tm 0.500 0.500 0.500
Ru 0.250 0.250 0.250
Ru 0.250 0.250 0.750
Ru 0.250 0.750 0.250
Ru 0.250 0.750 0.750
Ru 0.750 0.250 0.250
Ru 0.750 0.250 0.750
Ru 0.750 0.750 0.250
Ru 0.750 0.750 0.750
! Total magnetic moment, μB/f.u.: 0.0

=====

Number 1: DOS(E_F) 5.735 states/eV/f.u., total energy -7.883 eV per atom. Number 2: DOS(E_F) 6.899 states/eV/f.u., total energy -2.972 eV per atom. Number 3: DOS(E_F) 4.879 states/eV/f.u., total energy -4.527 eV per atom. Number 4: DOS(E_F) 11.368 states/eV/f.u., total energy -1.719 eV per atom. Number 5: DOS(E_F) 6.813 states/eV/f.u., total energy -4.710 eV per atom. Number 6: DOS(E_F) 4.190 states/eV/f.u., total energy -4.161 eV per atom. Number 7: DOS(E_F) 2.714 states/eV/f.u., total energy -4.075 eV per atom. Number 8: DOS(E_F) 7.190 states/eV/f.u., total energy -5.086 eV per atom. Number 9: DOS(E_F) 6.799 states/eV/f.u., total energy -7.080 eV per atom. Number 10: DOS(E_F) 4.398 states/eV/f.u., total energy -6.674 eV per atom. Number 11: DOS(E_F) 4.778 states/eV/f.u., total energy -8.815 eV per atom. Number 12: DOS(E_F) 4.068 states/eV/f.u., total energy -7.275 eV per atom.